# 1
NdThHgTe2 PBE relaxed; symmetry = P4/nmm, No. 129; magnetic moment = 0.000 μB/atom; electronic total energy = -47.4 eV/cell
1.0
4.396 0.000 0.000
0.000 4.396 0.000
0.000 0.000 15.719
Nd Th Hg Te
2 2 2 4
direct
0.250 0.250 0.164
0.750 0.750 0.836
0.250 0.250 0.582
0.750 0.750 0.418
0.250 0.750 0.000
0.750 0.250 0.000
0.250 0.250 0.375
0.250 0.250 0.791
0.750 0.750 0.209
0.750 0.750 0.625

=====

# 2
NdTlHgTe3 PBE relaxed; symmetry = P2_1/m, No. 11; magnetic moment = 0.000 μB/atom; electronic total energy = -42.4 eV/cell
1.0
9.492 0.000 0.000
0.000 4.574 0.000
-2.834 0.000 10.167
Nd Tl Hg Te
2 2 2 6
direct
0.179 0.250 0.144
0.821 0.750 0.856
0.288 0.750 0.774
0.712 0.250 0.226
0.405 0.750 0.388
0.595 0.250 0.612
0.047 0.250 0.836
0.267 0.250 0.472
0.409 0.750 0.120
0.591 0.250 0.880
0.733 0.750 0.528
0.953 0.750 0.164

=====

# 3
NdTmHgTe PBE relaxed; symmetry = R3m, No. 160; magnetic moment = 0.000 μB/atom; electronic total energy = -16.1 eV/cell
1.0
2.102 1.214 7.799
-2.102 1.214 7.799
0.000 -2.427 7.799
Nd Tm Hg Te
1 1 1 1
direct
0.000 0.000 0.000
0.499 0.499 0.499
0.754 0.754 0.754
0.245 0.245 0.245

=====

# 4
Nd2ThHg3 PBE relaxed; excess energy over the best structure of this formula in the dataset = 0.000 eV per atom; symmetry = P4/mmm, No. 123; DFT formation energy = -0.374 eV/atom; magnetic moment = 0.161 μB/atom; electronic total energy = -20.1 eV/cell
1.0
3.817 0.000 0.000
0.000 3.817 0.000
0.000 0.000 11.592
Nd Th Hg
2 1 3
direct
0.000 0.000 0.167
0.000 0.000 0.833
0.000 0.000 0.500
0.500 0.500 0.000
0.500 0.500 0.331
0.500 0.500 0.669

=====

# 5
Nd2ThHg3 PBE relaxed; excess energy over the best structure of this formula in the dataset = 0.011 eV per atom; symmetry = P-3m1, No. 164; DFT formation energy = -0.363 eV/atom; magnetic moment = 0.064 μB/atom; electronic total energy = -20.0 eV/cell
1.0
5.423 0.000 0.000
-2.711 4.696 0.000
0.000 0.000 6.632
Nd Th Hg
2 1 3
direct
0.333 0.667 0.169
0.667 0.333 0.831
0.000 0.000 0.500
0.000 0.000 0.000
0.333 0.667 0.666
0.667 0.333 0.334

=====

# 6
Nd2Th2Hg7 PBE relaxed; symmetry = Cmmm, No. 65; DFT formation energy = 0.018 eV/atom; magnetic moment = 0.000 μB/atom; electronic total energy = -26.3 eV/cell
1.0
4.430 -5.475 0.000
4.430 5.475 0.000
0.000 0.000 7.193
Nd Th Hg
2 2 7
direct
0.207 0.793 0.000
0.793 0.207 0.000
0.317 0.317 0.500
0.683 0.683 0.500
0.000 0.000 0.291
0.000 0.000 0.709
0.000 0.500 0.291
0.000 0.500 0.709
0.500 0.000 0.291
0.500 0.000 0.709
0.500 0.500 0.000

=====

# 7
NdTh2Hg4 PBE relaxed; symmetry = I4/mmm, No. 139; DFT formation energy = -0.183 eV/atom; magnetic moment = 0.000 μB/atom; electronic total energy = -22.1 eV/cell
1.0
-2.626 2.626 7.556
2.626 -2.626 7.556
2.626 2.626 -7.556
Nd Th Hg
1 2 4
direct
0.000 0.000 0.000
0.259 0.259 0.000
0.741 0.741 0.000
0.115 0.615 0.500
0.385 0.885 0.500
0.615 0.115 0.500
0.885 0.385 0.500

=====

# 8
Nd3ThHg2 PBE relaxed; symmetry = P4/mmm, No. 123; DFT formation energy = -0.312 eV/atom; magnetic moment = 0.033 μB/atom; electronic total energy = -24.2 eV/cell
1.0
3.717 0.000 0.000
0.000 3.717 0.000
0.000 0.000 12.907
Nd Th Hg
3 1 2
direct
0.000 0.000 0.000
0.000 0.000 0.314
0.000 0.000 0.686
0.500 0.500 0.500
0.500 0.500 0.158
0.500 0.500 0.842